[1]
## Tm6CdCo2 (PBE)

Data for an optimized crystal structure of Tm6CdCo2.

Geometry as CIF:
```
data_Tm6CdCo2
_cell_length_a 8.231
_cell_length_b 8.231
_cell_length_c 8.231
_cell_angle_alpha 112.03
_cell_angle_beta 110.02
_cell_angle_gamma 106.41
_space_group_name_H-M_alt 'P 1'
_space_group_IT_number 1
_space_group_name_Hall 'P 1'
loop_
_atom_site_label
_atom_site_type_symbol
_atom_site_fract_x
_atom_site_fract_y
_atom_site_fract_z
Cd1 Cd 0.000 0.000 0.000
Cd2 Cd 0.500 0.500 0.000
Co1 Co 0.378 0.000 0.378
Co2 Co 0.886 0.386 0.500
Co3 Co 0.114 0.614 0.500
Co4 Co 0.622 0.000 0.622
Tm1 Tm 0.812 0.290 0.103
Tm2 Tm 0.439 0.229 0.210
Tm3 Tm 0.981 0.771 0.210
Tm4 Tm 0.315 0.616 0.302
Tm5 Tm 0.685 0.987 0.302
Tm6 Tm 0.188 0.290 0.478
Tm7 Tm 0.812 0.710 0.522
Tm8 Tm 0.315 0.013 0.698
Tm9 Tm 0.685 0.384 0.698
Tm10 Tm 0.019 0.229 0.790
Tm11 Tm 0.561 0.771 0.790
Tm12 Tm 0.188 0.710 0.897
```

**Spin magnetization**: 0.00 μB/f.u.
**Formation energy**: -241 meV/atom
**VASP energy**: -4.90 eV per atom
**Symmetry**: No. 71

[2]
## ZnGaCu6 (PBE)

Data for an optimized crystal structure of ZnGaCu6.

Geometry as CIF:
```
data_ZnGaCu6
_cell_length_a 5.201
_cell_length_b 5.201
_cell_length_c 4.256
_cell_angle_alpha 90.00
_cell_angle_beta 90.00
_cell_angle_gamma 120.00
_space_group_name_H-M_alt 'P 1'
_space_group_IT_number 1
_space_group_name_Hall 'P 1'
loop_
_atom_site_label
_atom_site_type_symbol
_atom_site_fract_x
_atom_site_fract_y
_atom_site_fract_z
Cu1 Cu 0.002 0.501 0.000
Cu2 Cu 0.499 0.501 0.000
Cu3 Cu 0.499 0.998 0.000
Cu4 Cu 0.168 0.336 0.500
Cu5 Cu 0.168 0.832 0.500
Cu6 Cu 0.664 0.832 0.500
Ga1 Ga 0.000 0.000 0.000
Zn1 Zn 0.667 0.333 0.500
```

**VASP energy**: -3.41 eV per atom
**Symmetry**: No. 187

[3]
## LaGeW (PBE)

Data for an optimized crystal structure of LaGeW.

Geometry as CIF:
```
data_LaGeW
_cell_length_a 4.670
_cell_length_b 4.670
_cell_length_c 4.670
_cell_angle_alpha 60.00
_cell_angle_beta 60.00
_cell_angle_gamma 60.00
_space_group_name_H-M_alt 'P 1'
_space_group_IT_number 1
_space_group_name_Hall 'P 1'
loop_
_atom_site_label
_atom_site_type_symbol
_atom_site_fract_x
_atom_site_fract_y
_atom_site_fract_z
Ge1 Ge 0.000 0.000 0.000
La1 La 0.250 0.250 0.250
W1 W 0.750 0.750 0.750
```

**Spin magnetization**: 0.65 μB/f.u.
**E above lowest polymorph**: 0 meV/atom
**VASP energy**: -6.97 eV per atom
**Symmetry**: No. 216

[4]
## TlGeW4N2 (PBE)

Data for an optimized crystal structure of TlGeW4N2.

Geometry as CIF:
```
data_TlGeW4N2
_cell_length_a 2.936
_cell_length_b 2.936
_cell_length_c 14.801
_cell_angle_alpha 90.00
_cell_angle_beta 90.00
_cell_angle_gamma 120.00
_space_group_name_H-M_alt 'P 1'
_space_group_IT_number 1
_space_group_name_Hall 'P 1'
loop_
_atom_site_label
_atom_site_type_symbol
_atom_site_fract_x
_atom_site_fract_y
_atom_site_fract_z
Ge1 Ge 0.000 0.000 0.000
N1 N 0.333 0.667 0.237
N2 N 0.333 0.667 0.763
Tl1 Tl 0.667 0.333 0.500
W1 W 0.667 0.333 0.140
W2 W 0.000 0.000 0.330
W3 W 0.000 0.000 0.670
W4 W 0.667 0.333 0.860
```

**Spin magnetization**: 0.01 μB/f.u.
**VASP energy**: -9.02 eV per atom
**Symmetry**: No. 187

[5]
## Zn3PCl3O4 (PBE)

Data for an optimized crystal structure of Zn3PCl3O4.

Geometry as CIF:
```
data_Zn3PCl3O4
_cell_length_a 7.358
_cell_length_b 7.358
_cell_length_c 7.358
_cell_angle_alpha 116.03
_cell_angle_beta 116.03
_cell_angle_gamma 116.03
_space_group_name_H-M_alt 'P 1'
_space_group_IT_number 1
_space_group_name_Hall 'P 1'
loop_
_atom_site_label
_atom_site_type_symbol
_atom_site_fract_x
_atom_site_fract_y
_atom_site_fract_z
Cl1 Cl 0.557 0.564 0.008
Cl2 Cl 0.564 0.008 0.557
Cl3 Cl 0.008 0.557 0.564
O1 O 0.917 0.139 0.102
O2 O 0.102 0.917 0.139
O3 O 0.601 0.601 0.601
O4 O 0.139 0.102 0.917
P1 P 0.960 0.960 0.960
Zn1 Zn 0.610 0.467 0.276
Zn2 Zn 0.276 0.610 0.467
Zn3 Zn 0.467 0.276 0.610
```

**VASP energy**: -4.60 eV per atom
**Symmetry**: No. 146

[6]
## TmTlO3 (PBE)

Data for an optimized crystal structure of TmTlO3.

Geometry as CIF:
```
data_TmTlO3
_cell_length_a 4.109
_cell_length_b 4.109
_cell_length_c 4.598
_cell_angle_alpha 90.00
_cell_angle_beta 90.00
_cell_angle_gamma 90.00
_space_group_name_H-M_alt 'P 1'
_space_group_IT_number 1
_space_group_name_Hall 'P 1'
loop_
_atom_site_label
_atom_site_type_symbol
_atom_site_fract_x
_atom_site_fract_y
_atom_site_fract_z
O1 O 0.500 0.500 0.082
O2 O 0.500 0.000 0.674
O3 O 0.000 0.500 0.674
Tl1 Tl 0.000 0.000 0.927
Tm1 Tm 0.500 0.500 0.543
```

**Spin magnetization**: 0.00 μB/f.u.
**VASP energy**: -6.05 eV per atom
**Symmetry**: No. 99

[7]
## LaInNi (PBE)

Data for an optimized crystal structure of LaInNi.

Geometry as CIF:
```
data_LaInNi
_cell_length_a 7.091
_cell_length_b 7.091
_cell_length_c 4.749
_cell_angle_alpha 90.00
_cell_angle_beta 90.00
_cell_angle_gamma 120.00
_space_group_name_H-M_alt 'P 1'
_space_group_IT_number 1
_space_group_name_Hall 'P 1'
loop_
_atom_site_label
_atom_site_type_symbol
_atom_site_fract_x
_atom_site_fract_y
_atom_site_fract_z
In1 In 0.667 0.333 0.000
In2 In 0.333 0.667 0.000
In3 In 0.000 0.000 0.500
La1 La 0.551 0.000 0.500
La2 La 0.449 0.449 0.500
La3 La 0.000 0.551 0.500
Ni1 Ni 0.211 0.000 0.000
Ni2 Ni 0.000 0.211 0.000
Ni3 Ni 0.789 0.789 0.000
```

**Spin magnetization**: 0.00 μB/f.u.
**VASP energy**: -4.61 eV per atom
**Symmetry**: No. 189

[8]
## Tb3Sn3IrPt2 (PBE)

Data for an optimized crystal structure of Tb3Sn3IrPt2.

Geometry as CIF:
```
data_Tb3Sn3IrPt2
_cell_length_a 7.534
_cell_length_b 7.534
_cell_length_c 3.993
_cell_angle_alpha 90.00
_cell_angle_beta 90.00
_cell_angle_gamma 120.00
_space_group_name_H-M_alt 'P 1'
_space_group_IT_number 1
_space_group_name_Hall 'P 1'
loop_
_atom_site_label
_atom_site_type_symbol
_atom_site_fract_x
_atom_site_fract_y
_atom_site_fract_z
Ir1 Ir 0.000 0.000 0.000
Pt1 Pt 0.667 0.333 0.500
Pt2 Pt 0.333 0.667 0.500
Sn1 Sn 0.256 0.000 0.500
Sn2 Sn 0.000 0.256 0.500
Sn3 Sn 0.744 0.744 0.500
Tb1 Tb 0.595 0.000 0.000
Tb2 Tb 0.405 0.405 0.000
Tb3 Tb 0.000 0.595 0.000
```

**Spin magnetization**: 0.01 μB/f.u.
**VASP energy**: -6.25 eV per atom
**Symmetry**: No. 189